No. 1
Pr2RhAu | PBE | optimized geometry

Computed properties:
Spin magnetization, μB/f.u.: 0.00
Crystal system: trigonal
Formation energy, meV per atom: -658
Raw total energy, eV/atom: -5.705

abc: 7.7366 7.7366 7.7366
angles: 31.17 31.17 31.17
Element x y z (fractional)
Pr 0.0000 0.0000 0.0000
Pr 0.1874 0.1874 0.1874
Rh 0.5928 0.5928 0.5928
Au 0.4282 0.4282 0.4282



No. 2
Hf2TaHPt | PBE | optimized geometry

Computed properties:
Spin magnetization, μB/f.u.: 0.00
Crystal system: tetragonal
Raw total energy, eV/atom: -8.657

abc: 4.5447 4.5447 3.7518
angles: 90.00 90.00 90.00
Element x y z (fractional)
Hf 0.0000 0.5000 0.0000
Hf 0.5000 0.0000 0.0000
Ta 0.0000 0.0000 0.5000
H 0.0000 0.0000 0.0000
Pt 0.5000 0.5000 0.5000



No. 3
Cs2SiSe3 | PBE | optimized geometry

Computed properties:
Spin magnetization, μB/f.u.: 0.00
Crystal system: monoclinic
Formation energy (no corrections), kJ/mol of atoms: -94
Raw total energy, eV/atom: -3.905

abc: 8.3447 8.3447 16.9778
angles: 90.03 90.03 128.06
Element x y z (fractional)
Cs 0.0658 0.4346 0.6423
Cs 0.1415 0.3581 0.0667
Cs 0.3581 0.1415 0.5667
Cs 0.4346 0.0658 0.1423
Cs 0.5654 0.9342 0.8577
Cs 0.6419 0.8585 0.4333
Cs 0.8585 0.6419 0.9333
Cs 0.9342 0.5654 0.3577
Si 0.2439 0.2563 0.8267
Si 0.2563 0.2439 0.3267
Si 0.7437 0.7561 0.6733
Si 0.7561 0.7437 0.1733
Se 0.0542 0.9458 0.7500
Se 0.0972 0.4028 0.8498
Se 0.1652 0.3357 0.4321
Se 0.3357 0.1652 0.9321
Se 0.4028 0.0972 0.3498
Se 0.4459 0.5541 0.2500
Se 0.5541 0.4459 0.7500
Se 0.5972 0.9028 0.6502
Se 0.6643 0.8348 0.0679
Se 0.8348 0.6643 0.5679
Se 0.9028 0.5972 0.1502
Se 0.9458 0.0542 0.2500



No. 4
Pm3Y2HoAs6 | PBE | optimized geometry

Computed properties:
Spin magnetization, μB/f.u.: 0.00
Crystal system: monoclinic
Formation energy, meV per atom: -1534
Raw total energy, eV/atom: -6.505

abc: 9.3383 9.3383 8.3506
angles: 102.86 102.86 25.87
Element x y z (fractional)
Pm 0.0000 0.0000 0.0000
Pm 0.3332 0.3332 0.6667
Pm 0.6668 0.6668 0.3333
Y 0.3335 0.3335 0.1670
Y 0.6665 0.6665 0.8330
Ho 0.0000 0.0000 0.5000
As 0.1647 0.1647 0.5866
As 0.1681 0.1681 0.0794
As 0.4986 0.4986 0.2551
As 0.5014 0.5014 0.7449
As 0.8319 0.8319 0.9206
As 0.8353 0.8353 0.4134